The following is a meta-GGA SCAN calculation of a PBEsol-optimized structure of BaAs2Ir, from the Alexandria database.

Properties
space group: No. 166
formation energy: -800 meV per atom

a b c (Å): 6.275 6.275 6.275
angles (deg): 39.29 39.29 39.29
Sites, in units of the cell vectors:
1 Ba 0.000 0.000 0.000
2 As 0.212 0.212 0.212
3 As 0.788 0.788 0.788
4 Ir 0.500 0.500 0.500

=====

The following is a meta-GGA SCAN calculation of a PBEsol-optimized structure of BePRhO2, from the Alexandria database.

Properties
space group: No. 123
raw formation energy: -0.418 eV per atom

a b c (Å): 3.237 3.237 5.796
angles (deg): 90.00 90.00 90.00
Sites, in units of the cell vectors:
1 Be 0.000 0.000 0.000
2 P 0.000 0.000 0.500
3 Rh 0.500 0.500 0.500
4 O 0.000 0.500 0.000
5 O 0.500 0.000 0.000

=====

| no. | raw total energy (eV per cell) |
| --- | --- |
| 1 | -154.23 |
| 2 | -63.07 |